18
Lattice="4.1835 0.0000 0.0000 -2.0918 9.4009 0.0000 0.0000 0.0000 12.7976" Properties=species:S:1:pos:R:3 comment="Sr2NpGaSe5, optimized geometry, DFT PBE" sg=Cmc2_1 e_form_raw_mev_per_atom=-1383 pbc="T T T"
Sr 2.0918 7.1987 2.3356
Sr 0.0000 2.2891 4.1618
Sr 2.0918 7.1117 10.5606
Sr 0.0000 2.2022 8.7344
Se 2.0918 3.8698 2.2493
Se 2.0918 8.5701 6.9380
Se 2.0918 2.7181 6.4807
Se 0.0000 9.3883 9.8533
Se 2.0918 3.4624 11.0589
Se 0.0000 5.9385 4.6601
Se 2.0918 0.0125 3.4545
Se 0.0000 5.5311 8.6480
Se 0.0000 6.6828 0.0819
Se 0.0000 0.8307 0.5392
Np 2.0918 5.5601 6.6865
Np 0.0000 3.8407 0.2878
Ga 0.0000 8.3066 5.5724
Ga 2.0918 1.0942 11.9712